This record from Alexandria via LeMat-Bulk describes an optimized crystal structure of ReAgSb. The functional is PBE-GGA.

Computed properties:
Its offset from the most stable computed form is 41.2 meV per atom. The volume is 63.1 Å³/cell.

abc: 4.4677 4.4677 4.4677
angles: 60.00 60.00 60.00
Sites, in units of the cell vectors:
Re (0.0000, 0.0000, 0.0000)
Ag (0.7500, 0.7500, 0.7500)
Sb (0.2500, 0.2500, 0.2500)